Record 1
# Y4BBr6

A PBEsol-optimized structure of Y4BBr6 (SCAN, Alexandria).

Computed properties:
- Formation energy without anion corrections: -1.728 eV per atom
- Space-group type: No. 15

a = 10.467 Å, b = 10.467 Å, c = 12.373 Å
α = 95.80°, β = 95.80°, γ = 63.73°
Fractional coordinates of all 44 atoms:
Y 0.028 0.786 0.190
Y 0.045 0.287 0.546
Y 0.082 0.857 0.910
Y 0.143 0.918 0.590
Y 0.214 0.972 0.310
Y 0.287 0.045 0.046
Y 0.315 0.614 0.395
Y 0.386 0.685 0.105
Y 0.614 0.315 0.895
Y 0.685 0.386 0.605
Y 0.713 0.955 0.954
Y 0.786 0.028 0.690
Y 0.857 0.082 0.410
Y 0.918 0.143 0.090
Y 0.955 0.713 0.454
Y 0.972 0.214 0.810
B 0.088 0.839 0.394
B 0.161 0.912 0.106
B 0.839 0.088 0.894
B 0.912 0.161 0.606
Br 0.030 0.749 0.685
Br 0.047 0.312 0.028
Br 0.124 0.362 0.750
Br 0.195 0.442 0.466
Br 0.251 0.970 0.815
Br 0.274 0.511 0.179
Br 0.312 0.047 0.528
Br 0.341 0.585 0.893
Br 0.362 0.124 0.250
Br 0.415 0.659 0.607
Br 0.442 0.195 0.966
Br 0.489 0.726 0.321
Br 0.511 0.274 0.679
Br 0.558 0.805 0.034
Br 0.585 0.341 0.393
Br 0.638 0.876 0.750
Br 0.659 0.415 0.107
Br 0.688 0.953 0.472
Br 0.726 0.489 0.821
Br 0.749 0.030 0.185
Br 0.805 0.558 0.534
Br 0.876 0.638 0.250
Br 0.953 0.688 0.972
Br 0.970 0.251 0.315


Record 2
# YBBr2

A PBEsol-optimized structure of YBBr2 (SCAN, Alexandria).

Computed properties:
- Formation energy without anion corrections: 0.338 eV per atom
- Space-group type: No. 166

a = 8.731 Å, b = 8.731 Å, c = 8.731 Å
α = 24.57°, β = 24.57°, γ = 24.57°
Fractional coordinates of all 4 atoms:
Y 0.000 0.000 0.000
B 0.500 0.500 0.500
Br 0.108 0.108 0.108
Br 0.892 0.892 0.892


Record 3
# ZrBBr2

A PBEsol-optimized structure of ZrBBr2 (SCAN, Alexandria).

Computed properties:
- Formation energy without anion corrections: 0.705 eV per atom
- Space-group type: No. 166

a = 8.491 Å, b = 8.491 Å, c = 8.491 Å
α = 23.15°, β = 23.15°, γ = 23.15°
Fractional coordinates of all 4 atoms:
Zr 0.000 0.000 0.000
B 0.500 0.500 0.500
Br 0.105 0.105 0.105
Br 0.895 0.895 0.895


Record 4
# Zr3BBr

A PBEsol-optimized structure of Zr3BBr (SCAN, Alexandria).

Computed properties:
- Formation energy without anion corrections: 0.110 eV per atom
- Space-group type: No. 221

a = 4.641 Å, b = 4.641 Å, c = 4.641 Å
α = 90.00°, β = 90.00°, γ = 90.00°
Fractional coordinates of all 5 atoms:
Zr 0.000 0.000 0.500
Zr 0.000 0.500 0.000
Zr 0.500 0.000 0.000
B 0.000 0.000 0.000
Br 0.500 0.500 0.500


Record 5
# ZrB3Br

A PBEsol-optimized structure of ZrB3Br (SCAN, Alexandria).

Computed properties:
- Formation energy without anion corrections: 2.046 eV per atom
- Space-group type: No. 221

a = 4.621 Å, b = 4.621 Å, c = 4.621 Å
α = 90.00°, β = 90.00°, γ = 90.00°
Fractional coordinates of all 5 atoms:
Zr 0.000 0.000 0.000
B 0.000 0.000 0.500
B 0.000 0.500 0.000
B 0.500 0.000 0.000
Br 0.500 0.500 0.500


Record 6
# ZrBBr3

A PBEsol-optimized structure of ZrBBr3 (SCAN, Alexandria).

Computed properties:
- Formation energy without anion corrections: 0.544 eV per atom
- Space-group type: No. 221

a = 4.630 Å, b = 4.630 Å, c = 4.630 Å
α = 90.00°, β = 90.00°, γ = 90.00°
Fractional coordinates of all 5 atoms:
Zr 0.000 0.000 0.000
B 0.500 0.500 0.500
Br 0.000 0.500 0.500
Br 0.500 0.000 0.500
Br 0.500 0.500 0.000


Record 7
# CaB2C2

A PBEsol-optimized structure of CaB2C2 (SCAN, Alexandria).

Computed properties:
- Space-group type: No. 140
- DFT formation energy: -443 meV per atom

a = 5.241 Å, b = 5.241 Å, c = 5.241 Å
α = 118.64°, β = 118.64°, γ = 92.38°
Fractional coordinates of all 10 atoms:
Ca 0.250 0.250 0.000
Ca 0.750 0.750 0.000
B 0.138 0.638 0.777
B 0.362 0.138 0.500
B 0.638 0.862 0.500
B 0.862 0.362 0.223
C 0.160 0.340 0.500
C 0.340 0.840 0.180
C 0.660 0.160 0.820
C 0.840 0.660 0.500


Record 8
# Ca9B2C4Cl8

A PBEsol-optimized structure of Ca9B2C4Cl8 (SCAN, Alexandria).

Computed properties:
- Formation energy without anion corrections: -1.577 eV per atom
- Space-group type: No. 63

a = 8.786 Å, b = 8.786 Å, c = 12.018 Å
α = 90.00°, β = 90.00°, γ = 98.36°
Fractional coordinates of all 46 atoms:
Ca 0.029 0.331 0.550
Ca 0.029 0.331 0.950
Ca 0.121 0.879 0.750
Ca 0.193 0.435 0.250
Ca 0.331 0.029 0.050
Ca 0.331 0.029 0.450
Ca 0.343 0.657 0.591
Ca 0.343 0.657 0.909
Ca 0.435 0.193 0.750
Ca 0.565 0.807 0.250
Ca 0.657 0.343 0.091
Ca 0.657 0.343 0.409
Ca 0.669 0.971 0.550
Ca 0.669 0.971 0.950
Ca 0.807 0.565 0.750
Ca 0.879 0.121 0.250
Ca 0.971 0.669 0.050
Ca 0.971 0.669 0.450
B 0.087 0.580 0.750
B 0.420 0.913 0.750
B 0.580 0.087 0.250
B 0.913 0.420 0.250
C 0.064 0.597 0.631
C 0.064 0.597 0.869
C 0.403 0.936 0.631
C 0.403 0.936 0.869
C 0.597 0.064 0.131
C 0.597 0.064 0.369
C 0.936 0.403 0.131
C 0.936 0.403 0.369
Cl 0.000 0.000 0.000
Cl 0.000 0.000 0.500
Cl 0.125 0.199 0.750
Cl 0.199 0.125 0.250
Cl 0.276 0.724 0.121
Cl 0.276 0.724 0.379
Cl 0.341 0.341 0.000
Cl 0.341 0.341 0.500
Cl 0.489 0.511 0.750
Cl 0.511 0.489 0.250
Cl 0.659 0.659 0.000
Cl 0.659 0.659 0.500
Cl 0.724 0.276 0.621
Cl 0.724 0.276 0.879
Cl 0.801 0.875 0.750
Cl 0.875 0.801 0.250


Number 1: total moment 0.00 μB per formula unit. Number 2: total moment 0.00 μB per formula unit. Number 3: total moment 0.00 μB per formula unit. Number 4: total moment 0.00 μB per formula unit. Number 5: total moment 0.00 μB per formula unit. Number 6: total moment 2.15 μB per formula unit. Number 7: total moment 0.00 μB per formula unit. Number 8: total moment 0.00 μB per formula unit.